1.
The following is a GGA-PBE calculation of crystalline Ac2Be4Si3Rh at its relaxed geometry, from Alexandria.

Geometry as POSCAR:
```
Ac2Be4Si3Rh
1.0
4.1105 0.0000 0.0000
0.0000 4.1105 0.0000
0.0000 0.0000 9.9952
Ac Be Si Rh
2 4 3 1
Cartesian
0.0000 2.0553 2.4676
2.0553 0.0000 7.5276
0.0000 0.0000 0.0000
0.0000 2.0553 6.1568
2.0553 0.0000 3.8384
2.0553 2.0553 0.0000
0.0000 2.0553 8.7682
2.0553 0.0000 1.2270
2.0553 2.0553 4.9976
0.0000 0.0000 4.9976
```

Values from the calculation:
V   16.89 A^3/atom
DFT total energy   -5.05 eV per atom
Formation energy (no corrections)   -0.377 eV/atom
Magnetization   0.0 μB per formula unit

2.
The following is a GGA-PBE calculation of crystalline CeLuPtAu at its relaxed geometry, from Alexandria.

Geometry as POSCAR:
```
CeLuPtAu
1.0
0.0000 3.5634 3.5634
3.5634 0.0000 3.5634
3.5634 3.5634 0.0000
Ce Lu Pt Au
1 1 1 1
Cartesian
0.0000 0.0000 0.0000
3.5634 3.5634 3.5634
1.7817 1.7817 1.7817
5.3451 5.3451 5.3451
```

Values from the calculation:
V   22.62 A^3/atom
DFT total energy   -5.86 eV per atom
DFT formation energy   -0.92 eV/atom
Magnetization   0.8 μB per formula unit

3.
The following is a GGA-PBE calculation of crystalline SrCrIr2 at its relaxed geometry, from Alexandria.

Geometry as POSCAR:
```
SrCrIr2
1.0
-2.5113 2.5113 7.9898
2.5113 -2.5113 7.9898
2.5113 2.5113 -7.9898
Sr Cr Ir
2 2 4
Cartesian
0.0000 0.0000 0.0000
0.0000 2.5113 3.9949
2.5113 0.0000 3.9949
0.0000 0.0000 7.9898
1.2557 -0.2707 5.9923
2.2406 1.2557 1.9974
1.2557 2.7820 -1.9974
0.2707 1.2557 9.9872
```

Values from the calculation:
V   25.19 A^3/atom
DFT total energy   -6.88 eV per atom
DFT formation energy   0.37 eV/atom
Magnetization   2.6 μB per formula unit
Energy above the lowest structure with this stoichiometry   0.3497 eV/atom

Question: Among the records above, which one has the lowest V?
Answer: Ac2Be4Si3Rh